1.
EuCu3Si | GGA-PBE | relaxed

abc: 4.543 4.543 4.543
angles: 90.00 90.00 90.00
Space group Pm-3m (No. 221)
Symmetry-distinct sites (fractional):
Eu 0.000 0.000 0.000 [1 per cell]
Cu 0.000 0.500 0.500 [3 per cell]
Si 0.500 0.500 0.500 [1 per cell]

The calculated density is 6.6 g/cm3. For the total energy, the calculation gives -28.227 eV per cell. For the density of states at the Fermi level, the calculation gives 13.19 states/eV/cell. The raw formation energy is -48 meV per atom.



2.
EuCuSi3 | GGA-PBE | relaxed

abc: 4.330 4.330 9.443
angles: 90.00 90.00 90.00
Space group I-4m2 (No. 119)
Symmetry-distinct sites (fractional):
Eu 0.000 0.000 0.000 [2 per cell]
Cu 0.000 0.500 0.750 [2 per cell]
Si 0.000 0.000 0.373 [4 per cell]
Si 0.000 0.500 0.250 [2 per cell]

The calculated density is 5.6 g/cm3. For the total energy, the calculation gives -64.088 eV per cell. For the density of states at the Fermi level, the calculation gives 3.02 states/eV/cell. The raw formation energy is -281 meV per atom.



Look up the total energy of the first one. -28.227 eV per cell